Entry 1:
A PBEsol-optimized structure of KSrAs2, computed with meta-GGA SCAN.

The uncorrected energy comes out at -18.409 eV per atom. For the total magnetization, the calculation gives 0.00 Bohr magnetons per cell. Its energy above the lowest structure with this stoichiometry is 0.65 eV per formula unit.

The structure belongs to space group Imm2 (No. 44); the cell edges are 4.275, 4.728 and 13.313 Å and the angles 90.00°, 90.00° and 90.00°. Symmetry generates all atoms from K at (0.000, 0.000, 0.000), Sr at (0.000, 0.500, 0.738), As at (0.000, 0.000, 0.593) and As at (0.000, 0.500, 0.205).

Entry 2:
A PBEsol-optimized structure of LiVOF3, computed with meta-GGA SCAN.

The uncorrected energy comes out at -9.093 eV per atom. Its uncorrected formation energy is -2971 meV/atom. For the total magnetization, the calculation gives 4.00 Bohr magnetons per cell. Its energy above the lowest structure with this stoichiometry is 0.35 eV per formula unit.

The structure belongs to space group P4_1 (No. 76); the cell edges are 5.396, 5.396 and 9.461 Å and the angles 90.00°, 90.00° and 90.00°. Symmetry generates all atoms from Li at (0.117, 0.857, 0.000), V at (0.143, 0.399, 0.750), O at (0.096, 0.652, 0.836), F at (0.024, 0.836, 0.374), F at (0.137, 0.613, 0.138) and F at (0.306, 0.540, 0.584).

Entry 3:
A PBEsol-optimized structure of Mg3TeN, computed with meta-GGA SCAN.

The uncorrected energy comes out at -12.893 eV per atom. Its uncorrected formation energy is -600 meV/atom. For the total magnetization, the calculation gives 0.00 Bohr magnetons per cell.

The structure belongs to space group Pm-3m (No. 221); the cell edges are 4.408, 4.408 and 4.408 Å and the angles 90.00°, 90.00° and 90.00°. Symmetry generates all atoms from Mg at (0.000, 0.000, 0.500), Te at (0.500, 0.500, 0.500) and N at (0.000, 0.000, 0.000).

Entry 4:
A PBEsol-optimized structure of TlRe2Ag, computed with meta-GGA SCAN.

The uncorrected energy comes out at -60.311 eV per atom. For the total magnetization, the calculation gives 0.00 Bohr magnetons per cell. Its energy above the lowest structure with this stoichiometry is 0.86 eV per formula unit.

The structure belongs to space group Cmmm (No. 65); the cell edges are 5.343, 8.938 and 2.797 Å and the angles 90.00°, 90.00° and 90.00°. Symmetry generates all atoms from Tl at (0.000, 0.000, 0.000), Re at (0.250, 0.250, 0.500) and Ag at (0.000, 0.500, 0.000).

Entry 5:
A PBEsol-optimized structure of CdSnSe2, computed with meta-GGA SCAN.

The uncorrected energy comes out at -26.700 eV per atom. Its uncorrected formation energy is -76 meV/atom. For the total magnetization, the calculation gives 0.00 Bohr magnetons per cell.

The structure belongs to space group R-3m (No. 166, hexagonal axes); the cell edges are 3.9950, 3.9950 and 24.4557 Å and the angles 90.00°, 90.00° and 120.00°. Symmetry generates all atoms from Cd at (0.0000, 0.0000, 0.0000), Sn at (0.0000, 0.0000, 0.5000) and Se at (0.0000, 0.0000, 0.3930).

Entry 6:
A PBEsol-optimized structure of SeN, computed with meta-GGA SCAN.

The uncorrected energy comes out at -14.594 eV per atom. Its uncorrected formation energy is 91 meV/atom. For the total magnetization, the calculation gives 0.00 Bohr magnetons per cell.

The structure belongs to space group P1 (No. 1); the cell edges are 3.589, 3.589 and 8.069 Å and the angles 99.48°, 98.89° and 90.12°. Symmetry generates all atoms from Se at (0.000, 0.000, 0.000), Se at (0.483, 0.587, 0.097), N at (0.156, 0.231, 0.488) and N at (0.306, 0.390, 0.610).

Entry 7:
A PBEsol-optimized structure of Fe3BiIr, computed with meta-GGA SCAN.

The uncorrected energy comes out at -39.941 eV per atom. For the total magnetization, the calculation gives 10.73 Bohr magnetons per cell.

The structure belongs to space group Pm-3m (No. 221); the cell edges are 4.617, 4.617 and 4.617 Å and the angles 90.00°, 90.00° and 90.00°. Symmetry generates all atoms from Fe at (0.000, 0.000, 0.500), Bi at (0.500, 0.500, 0.500) and Ir at (0.000, 0.000, 0.000).

Entry 8:
A PBEsol-optimized structure of Ta3Cu, computed with meta-GGA SCAN.

The uncorrected energy comes out at -53.448 eV per atom. For the total magnetization, the calculation gives 0.00 Bohr magnetons per cell.

The structure belongs to space group R-3m (No. 166, hexagonal axes); the cell edges are 2.8203, 2.8203 and 28.9637 Å and the angles 90.00°, 90.00° and 120.00°. Symmetry generates all atoms from Ta at (0.0000, 0.0000, 0.0000), Ta at (0.0000, 0.0000, 0.2442) and Cu at (0.0000, 0.0000, 0.5000).

Entry 9:
A PBEsol-optimized structure of LaAg13, computed with meta-GGA SCAN.

The uncorrected energy comes out at -32.237 eV per atom. For the total magnetization, the calculation gives 0.00 Bohr magnetons per cell.

The structure belongs to space group Fm-3c (No. 226); the cell edges are 12.847, 12.847 and 12.847 Å and the angles 90.00°, 90.00° and 90.00°. Symmetry generates all atoms from La at (0.250, 0.250, 0.250), Ag at (0.000, 0.000, 0.000) and Ag at (0.000, 0.119, 0.180).

Entry 10:
A PBEsol-optimized structure of TiCoOF2, computed with meta-GGA SCAN.

The uncorrected energy comes out at -10.961 eV per atom. Its uncorrected formation energy is -1632 meV/atom. For the total magnetization, the calculation gives 4.56 Bohr magnetons per cell. Its energy above the lowest structure with this stoichiometry is 2.16 eV per formula unit.

The structure belongs to space group P4/mmm (No. 123); the cell edges are 3.938, 3.938 and 3.647 Å and the angles 90.00°, 90.00° and 90.00°. Symmetry generates all atoms from Ti at (0.000, 0.000, 0.000), Co at (0.500, 0.500, 0.500), O at (0.500, 0.500, 0.000) and F at (0.000, 0.500, 0.500).

Entry 11:
A PBEsol-optimized structure of TlZn3Pb, computed with meta-GGA SCAN.

The uncorrected energy comes out at -37.105 eV per atom. For the total magnetization, the calculation gives 0.00 Bohr magnetons per cell.

The structure belongs to space group Pm-3m (No. 221); the cell edges are 5.071, 5.071 and 5.071 Å and the angles 90.00°, 90.00° and 90.00°. Symmetry generates all atoms from Tl at (0.000, 0.000, 0.000), Zn at (0.000, 0.000, 0.500) and Pb at (0.500, 0.500, 0.500).

Entry 12:
A PBEsol-optimized structure of BaCaPt4, computed with meta-GGA SCAN.

The uncorrected energy comes out at -55.891 eV per atom. For the total magnetization, the calculation gives 0.00 Bohr magnetons per cell.

The structure belongs to space group F-43m (No. 216); the cell edges are 7.766, 7.766 and 7.766 Å and the angles 90.00°, 90.00° and 90.00°. Symmetry generates all atoms from Ba at (0.000, 0.000, 0.000), Ca at (0.250, 0.250, 0.750) and Pt at (0.124, 0.124, 0.376).

Copy entry 1 word for word.
A PBEsol-optimized structure of KSrAs2, computed with meta-GGA SCAN.

The uncorrected energy comes out at -18.409 eV per atom. For the total magnetization, the calculation gives 0.00 Bohr magnetons per cell. Its energy above the lowest structure with this stoichiometry is 0.65 eV per formula unit.

The structure belongs to space group Imm2 (No. 44); the cell edges are 4.275, 4.728 and 13.313 Å and the angles 90.00°, 90.00° and 90.00°. Symmetry generates all atoms from K at (0.000, 0.000, 0.000), Sr at (0.000, 0.500, 0.738), As at (0.000, 0.000, 0.593) and As at (0.000, 0.500, 0.205).

Copy entry 10 word for word.
A PBEsol-optimized structure of TiCoOF2, computed with meta-GGA SCAN.

The uncorrected energy comes out at -10.961 eV per atom. Its uncorrected formation energy is -1632 meV/atom. For the total magnetization, the calculation gives 4.56 Bohr magnetons per cell. Its energy above the lowest structure with this stoichiometry is 2.16 eV per formula unit.

The structure belongs to space group P4/mmm (No. 123); the cell edges are 3.938, 3.938 and 3.647 Å and the angles 90.00°, 90.00° and 90.00°. Symmetry generates all atoms from Ti at (0.000, 0.000, 0.000), Co at (0.500, 0.500, 0.500), O at (0.500, 0.500, 0.000) and F at (0.000, 0.500, 0.500).